The following is a GGA+U calculation of an optimized crystal structure of CrGaC2F, from the Alexandria database.

Results
The value obtained for the calculated volume is 13.61 Å³/atom. Its calculated total energy is -25.24 eV for the cell shown. Its symmetry is P4/mmm, No. 123.

Unit cell a=3.6582 b=3.6582 c=5.0850 alpha=90.00 beta=90.00 gamma=90.00
Element x y z (fractional)
Cr 0.0000 0.0000 0.0000
Ga 0.0000 0.0000 0.5000
C 0.0000 0.5000 0.0000
C 0.5000 0.0000 0.0000
F 0.5000 0.5000 0.5000